Entry 1:
Density functional theory data (PBE) for a geometry-optimized AcBr2O6 structure.

Computed properties:
Uncorrected energy: -4.87 eV/atom
ΔE_f (raw): -0.739 eV per atom
Density of states at the Fermi level: 3.40 states/eV/cell
Magnetization: 0.00 μB per formula unit
Space-group type: No. 15

abc: 7.1445 7.1445 7.5634
angles: 102.56 112.50 111.38
Last column: nearest neighbours and their distance in Å.
Positions (direct):
Ac 0.4135 0.1635 0.2500  10 O 2.67-2.87
Ac 0.5865 0.8365 0.7500  10 O 2.67-2.87
Br 0.4738 0.3027 0.7924  3 O 1.71-1.88
Br 0.0103 0.6814 0.7076  3 O 1.71-1.88
Br 0.5262 0.6973 0.2076  3 O 1.71-1.88
Br 0.9897 0.3186 0.2924  3 O 1.71-1.88
O 0.6010 0.2110 0.0018  1 Br 1.88
O 0.7092 0.5992 0.4982  1 Br 1.88
O 0.3990 0.7890 0.9982  1 Br 1.88
O 0.2908 0.4008 0.5018  1 Br 1.88
O 0.5604 0.1738 0.6420  1 Br 1.74
O 0.0318 0.9184 0.8580  1 Br 1.74
O 0.4396 0.8262 0.3580  1 Br 1.74
O 0.9682 0.0816 0.1420  1 Br 1.74
O 0.6806 0.5773 0.9347  1 Br 1.71
O 0.1426 0.7459 0.5653  1 Br 1.71
O 0.3194 0.4227 0.0653  1 Br 1.71
O 0.8574 0.2541 0.4347  1 Br 1.71



Entry 2:
Density functional theory data (PBE) for a geometry-optimized AcBrO2 structure.

Computed properties:
Uncorrected energy: -6.04 eV/atom
ΔE_f (raw): -2.113 eV per atom
Density of states at the Fermi level: 0.00 states/eV/cell
Magnetization: 0.00 μB per formula unit
Space-group type: No. 166

abc: 4.1046 4.1046 6.5370
angles: 71.70 71.70 60.00
Last column: nearest neighbours and their distance in Å.
Positions (direct):
Ac 0.5000 0.5000 0.5000  6 O 2.55
O 0.1150 0.1150 0.6548  1 Br 2.10
O 0.8850 0.8850 0.3452  1 Br 2.10
Br 0.0000 0.0000 0.0000  2 O 2.10



Entry 3:
Density functional theory data (PBE) for a geometry-optimized Ac8Os3Br4O structure.

Computed properties:
Uncorrected energy: -5.91 eV/atom
ΔE_f (raw): -1.023 eV per atom
Density of states at the Fermi level: 4.18 states/eV/cell
Magnetization: 0.00 μB per formula unit
Space-group type: No. 12

abc: 8.5010 9.6291 8.5077
angles: 116.30 119.97 90.00
Last column: nearest neighbours and their distance in Å.
Positions (direct):
Ac 0.2254 0.6877 0.9627  1 O 2.86, 2 Os 2.93
Ac 0.2262 0.6882 0.4525  1 O 2.87, 2 Os 2.93
Ac 0.2661 0.2987 0.5322  3 Os 2.97
Ac 0.7373 0.6877 0.9627  1 O 2.86, 2 Os 2.93
Ac 0.2627 0.3123 0.0373  1 O 2.86, 2 Os 2.93
Ac 0.7339 0.7013 0.4678  3 Os 2.97
Ac 0.7738 0.3118 0.5475  1 O 2.87, 2 Os 2.93
Ac 0.7746 0.3123 0.0373  1 O 2.86, 2 Os 2.93
Os 0.5000 0.5000 0.0000  6 Ac 2.93-2.97
Os 0.5000 0.5000 0.5000  6 Ac 2.93-2.97
Os 0.0000 0.5000 0.5000  6 Ac 2.93-2.97
Br 0.5000 0.0000 0.0000  6 Ac 3.59-3.61
Br 0.5000 0.0000 0.5000  6 Ac 3.49-3.55
Br 0.0000 0.0000 0.0000  6 Ac 3.48-3.55
Br 0.0000 0.0000 0.5000  6 Ac 3.49-3.55
O 0.0000 0.5000 0.0000  6 Ac 2.86-2.87



Entry 4:
Density functional theory data (PBE) for a geometry-optimized Ac3OsBr2O6 structure.

Computed properties:
Uncorrected energy: -6.69 eV/atom
ΔE_f (raw): -1.969 eV per atom
Density of states at the Fermi level: 1.62 states/eV/cell
Magnetization: 2.92 μB per formula unit
Space-group type: No. 12

abc: 6.0587 6.9668 7.0323
angles: 119.69 82.92 90.00
Last column: nearest neighbours and their distance in Å.
Positions (direct):
Ac 0.0000 0.5000 0.0000  4 O 2.71, 2 Br 2.98
Ac 0.5000 0.5000 0.5000  4 O 2.38-2.52
Ac 0.5000 0.0000 0.5000  4 O 2.38-2.52
Os 0.5000 0.0000 0.0000  6 O 1.97-2.09
Br 0.0918 0.7335 0.4670  1 O 2.81, 3 Ac 2.98-3.05
Br 0.9082 0.2665 0.5330  1 O 2.81, 3 Ac 2.98-3.05
O 0.6882 0.2778 0.1063  1 Os 2.09
O 0.3118 0.7222 0.8937  1 Os 2.09
O 0.6555 0.8472 0.6943  1 Os 1.97
O 0.3445 0.1528 0.3057  1 Os 1.97
O 0.3118 0.1716 0.8937  1 Os 2.09
O 0.6882 0.8284 0.1063  1 Os 2.09



Entry 5:
Density functional theory data (PBE) for a geometry-optimized AcP2BrO8 structure.

Computed properties:
Uncorrected energy: -6.47 eV/atom
ΔE_f (raw): -1.781 eV per atom
Density of states at the Fermi level: 0.08 states/eV/cell
Magnetization: 2.00 μB per formula unit
Space-group type: No. 155

abc: 4.8865 4.8865 8.2764
angles: 72.83 72.83 60.00
Last column: nearest neighbours and their distance in Å.
Positions (direct):
Ac 0.0000 0.0000 0.0000  12 O 2.82-2.84
P 0.7470 0.7470 0.7591  4 O 1.55-1.56
P 0.2530 0.2530 0.2409  4 O 1.55-1.56
Br 0.5000 0.5000 0.5000  6 O 2.37
O 0.6799 0.6799 0.9602  1 P 1.56
O 0.3201 0.3201 0.0398  1 P 1.56
O 0.5477 0.2233 0.2940  1 P 1.55
O 0.7767 0.4523 0.7060  1 P 1.55
O 0.0650 0.7767 0.7060  1 P 1.55
O 0.2233 0.9350 0.2940  1 P 1.55
O 0.9350 0.5477 0.2940  1 P 1.55
O 0.4523 0.0650 0.7060  1 P 1.55



Entry 6:
Density functional theory data (PBE) for a geometry-optimized AcPbBrO2 structure.

Computed properties:
Uncorrected energy: -6.12 eV/atom
ΔE_f (raw): -2.238 eV per atom
Density of states at the Fermi level: 0.00 states/eV/cell
Magnetization: 0.00 μB per formula unit
Space-group type: No. 107

abc: 4.2215 4.2215 7.5347
angles: 106.27 106.27 90.00
Last column: nearest neighbours and their distance in Å.
Positions (direct):
Ac 0.1574 0.1574 0.3149  4 O 2.43
Pb 0.8296 0.8296 0.6592  4 O 2.42
Br 0.5241 0.5241 0.0481  4 Ac 3.51, 4 O 3.71
O 0.7444 0.2444 0.4889  2 Pb 2.42, 2 Ac 2.43
O 0.2444 0.7444 0.4889  2 Pb 2.42, 2 Ac 2.43